Entry 1:
Hf2ReSb (GGA-PBE, optimized geometry); E_tot = -35.97 eV per formula unit; crystal system = cubic; spin magnetization = 0.9 μB per formula unit
1.0
0.000 3.371 3.371
3.371 0.000 3.371
3.371 3.371 0.000
Hf Re Sb
2 1 1
Direct
0.000 0.000 0.000
0.750 0.750 0.750
0.250 0.250 0.250
0.500 0.500 0.500

---

Entry 2:
HfReSb (GGA-PBE, optimized geometry); E_tot = -26.22 eV per formula unit; crystal system = cubic; spin magnetization = 0.0 μB per formula unit
1.0
0.000 3.200 3.200
3.200 0.000 3.200
3.200 3.200 0.000
Hf Re Sb
1 1 1
Direct
0.250 0.250 0.250
0.000 0.000 0.000
0.750 0.750 0.750

---

Entry 3:
HfReSb2 (GGA-PBE, optimized geometry); E_tot = -30.08 eV per formula unit; crystal system = orthorhombic; spin magnetization = 0.3 μB per formula unit
1.0
4.874 -3.437 0.000
4.874 3.437 0.000
0.000 0.000 5.359
Hf Re Sb
2 2 4
Direct
0.153 0.847 0.250
0.847 0.153 0.750
0.500 0.500 0.000
0.500 0.500 0.500
0.602 0.065 0.250
0.935 0.398 0.250
0.065 0.602 0.750
0.398 0.935 0.750

---

Entry 4:
HfScRe2 (GGA-PBE, optimized geometry); E_tot = -41.29 eV per formula unit; crystal system = cubic; spin magnetization = 0.0 μB per formula unit
1.0
-1.900 -4.168 -0.033
-0.605 -2.272 3.931
-4.223 -0.605 1.669
Hf Re Sc
1 2 1
Direct
0.500 0.500 0.500
0.000 0.000 0.000
0.250 0.250 0.250
0.750 0.750 0.750

---

Entry 5:
HfSc2Re (GGA-PBE, optimized geometry); E_tot = -35.17 eV per formula unit; crystal system = cubic; spin magnetization = 0.0 μB per formula unit
1.0
-4.099 -2.393 -0.581
-4.173 2.149 0.915
-2.943 1.136 -3.594
Hf Re Sc
1 1 2
Direct
0.750 0.750 0.750
0.000 0.000 0.000
0.250 0.250 0.250
0.500 0.500 0.500

---

Entry 6:
Hf9Re4Se (GGA-PBE, optimized geometry); E_tot = -148.22 eV per formula unit; crystal system = hexagonal; spin magnetization = 0.0 μB per formula unit
1.0
-3.464 -5.499 -5.700
8.480 -0.263 1.655
-1.403 -5.640 6.294
Hf Re Se
18 8 2
Direct
0.383 0.191 0.050
0.809 0.191 0.050
0.809 0.617 0.050
0.090 0.545 0.250
0.455 0.545 0.250
0.455 0.910 0.250
0.383 0.191 0.450
0.809 0.191 0.450
0.809 0.617 0.450
0.191 0.383 0.550
0.191 0.809 0.550
0.617 0.809 0.550
0.545 0.090 0.750
0.545 0.455 0.750
0.910 0.455 0.750
0.191 0.383 0.950
0.191 0.809 0.950
0.617 0.809 0.950
0.000 0.000 0.000
0.110 0.220 0.250
0.110 0.890 0.250
0.780 0.890 0.250
0.000 0.000 0.500
0.220 0.110 0.750
0.890 0.110 0.750
0.890 0.780 0.750
0.667 0.333 0.250
0.333 0.667 0.750

---

Entry 7:
HfRe2Si2 (GGA-PBE, optimized geometry); E_tot = -47.11 eV per formula unit; crystal system = tetragonal; spin magnetization = 0.0 μB per formula unit
1.0
3.615 -3.677 -2.490
4.869 -1.487 2.621
-5.585 0.408 1.197
Hf Re Si
1 2 2
Direct
0.000 0.000 0.000
0.750 0.250 0.500
0.250 0.750 0.500
0.384 0.384 0.000
0.616 0.616 0.000

---

Entry 8:
Hf2ReSi2 (GGA-PBE, optimized geometry); E_tot = -46.91 eV per formula unit; crystal system = tetragonal; spin magnetization = 0.0 μB per formula unit
1.0
-4.933 -4.185 0.676
1.222 -0.410 6.376
-2.418 2.956 0.653
Hf Re Si
4 2 4
Direct
0.328 0.172 0.500
0.828 0.328 0.500
0.172 0.672 0.500
0.672 0.828 0.500
0.000 0.000 0.000
0.500 0.500 0.000
0.631 0.131 0.000
0.131 0.369 0.000
0.869 0.631 0.000
0.369 0.869 0.000

---

Entry 9:
HfRe2Si (GGA-PBE, optimized geometry); E_tot = -39.86 eV per formula unit; crystal system = cubic; spin magnetization = 0.0 μB per formula unit
1.0
0.000 3.153 3.153
3.153 0.000 3.153
3.153 3.153 0.000
Hf Re Si
1 2 1
Direct
0.250 0.250 0.250
0.000 0.000 0.000
0.750 0.750 0.750
0.500 0.500 0.500

---

Entry 10:
HfRe2Si2 (GGA-PBE, optimized geometry); E_tot = -45.63 eV per formula unit; crystal system = tetragonal; spin magnetization = 0.0 μB per formula unit
1.0
-2.132 2.132 4.684
2.132 -2.132 4.684
2.132 2.132 -4.684
Hf Re Si
1 2 2
Direct
0.000 0.000 0.000
0.378 0.378 0.000
0.622 0.622 0.000
0.750 0.250 0.500
0.250 0.750 0.500

---

Entry 11:
Hf9Re4Si (GGA-PBE, optimized geometry); E_tot = -149.96 eV per formula unit; crystal system = hexagonal; spin magnetization = 0.0 μB per formula unit
1.0
-0.712 -2.935 7.992
4.382 -4.467 -5.816
7.230 4.231 2.198
Hf Re Si
18 8 2
Direct
0.391 0.195 0.047
0.805 0.195 0.047
0.805 0.609 0.047
0.078 0.539 0.250
0.461 0.539 0.250
0.461 0.922 0.250
0.391 0.195 0.453
0.805 0.195 0.453
0.805 0.609 0.453
0.195 0.391 0.547
0.195 0.805 0.547
0.609 0.805 0.547
0.539 0.078 0.750
0.539 0.461 0.750
0.922 0.461 0.750
0.195 0.391 0.953
0.195 0.805 0.953
0.609 0.805 0.953
0.000 0.000 0.000
0.109 0.218 0.250
0.109 0.891 0.250
0.782 0.891 0.250
0.000 0.000 0.500
0.218 0.109 0.750
0.891 0.109 0.750
0.891 0.782 0.750
0.667 0.333 0.250
0.333 0.667 0.750

---

Entry 12:
SmHfRe (GGA-PBE, optimized geometry); E_tot = -22.78 eV per formula unit; crystal system = cubic; spin magnetization = 0.0 μB per formula unit
1.0
-4.523 0.556 0.986
-2.789 2.207 -3.015
-3.217 -2.392 -2.382
Hf Re Sm
1 1 1
Direct
0.250 0.250 0.250
0.750 0.750 0.750
0.000 0.000 0.000

---

Entry 13:
HfReSn (GGA-PBE, optimized geometry); E_tot = -24.23 eV per formula unit; crystal system = cubic; spin magnetization = 0.0 μB per formula unit
1.0
0.000 3.249 3.249
3.249 0.000 3.249
3.249 3.249 0.000
Hf Re Sn
1 1 1
Direct
0.000 0.000 0.000
0.250 0.250 0.250
0.750 0.750 0.750

---

Entry 14:
HfReSn2 (GGA-PBE, optimized geometry); E_tot = -29.10 eV per formula unit; crystal system = cubic; spin magnetization = 0.0 μB per formula unit
1.0
2.055 -4.281 -0.978
-2.589 -4.080 0.399
-1.286 -2.454 -3.979
Hf Re Sn
1 1 2
Direct
0.500 0.500 0.500
0.750 0.750 0.750
0.000 0.000 0.000
0.250 0.250 0.250

---

Entry 15:
HfReSn (GGA-PBE, optimized geometry); E_tot = -25.76 eV per formula unit; crystal system = cubic; spin magnetization = 0.0 μB per formula unit
1.0
0.000 3.213 3.213
3.213 0.000 3.213
3.213 3.213 0.000
Hf Re Sn
1 1 1
Direct
0.250 0.250 0.250
0.000 0.000 0.000
0.750 0.750 0.750

---

Entry 16:
SrHfRe2 (GGA-PBE, optimized geometry); E_tot = -33.06 eV per formula unit; crystal system = cubic; spin magnetization = 0.0 μB per formula unit
1.0
0.000 3.363 3.363
3.363 0.000 3.363
3.363 3.363 0.000
Hf Re Sr
1 2 1
Direct
0.250 0.250 0.250
0.000 0.000 0.000
0.750 0.750 0.750
0.500 0.500 0.500

---

Entry 17:
Sr2HfRe (GGA-PBE, optimized geometry); E_tot = -22.15 eV per formula unit; crystal system = cubic; spin magnetization = 0.0 μB per formula unit
1.0
0.000 3.679 3.679
3.679 0.000 3.679
3.679 3.679 0.000
Hf Re Sr
1 1 2
Direct
0.500 0.500 0.500
0.750 0.750 0.750
0.000 0.000 0.000
0.250 0.250 0.250

---

Entry 18:
HfTaRe (GGA-PBE, optimized geometry); E_tot = -33.74 eV per formula unit; crystal system = cubic; spin magnetization = 0.0 μB per formula unit
1.0
0.000 3.153 3.153
3.153 0.000 3.153
3.153 3.153 0.000
Hf Re Ta
1 1 1
Direct
0.250 0.250 0.250
0.000 0.000 0.000
0.750 0.750 0.750

---

Entry 19:
HfTaRe2 (GGA-PBE, optimized geometry); E_tot = -45.96 eV per formula unit; crystal system = orthorhombic; spin magnetization = 0.0 μB per formula unit
1.0
5.585 0.000 0.000
0.000 6.044 0.000
0.000 0.000 8.516
Hf Re Ta
4 8 4
Direct
0.118 0.750 0.031
0.618 0.250 0.469
0.382 0.750 0.531
0.882 0.250 0.969
0.636 0.539 0.216
0.636 0.961 0.216
0.136 0.039 0.284
0.136 0.461 0.284
0.864 0.539 0.716
0.864 0.961 0.716
0.364 0.039 0.784
0.364 0.461 0.784
0.377 0.250 0.059
0.877 0.750 0.441
0.123 0.250 0.559
0.623 0.750 0.941

---

Entry 20:
HfTaRe2 (GGA-PBE, optimized geometry); E_tot = -48.21 eV per formula unit; crystal system = tetragonal; spin magnetization = 0.0 μB per formula unit
1.0
-1.236 1.737 -2.428
-2.579 -1.944 -0.078
-3.016 3.829 4.275
Hf Re Ta
1 2 1
Direct
0.000 0.000 0.500
0.500 0.500 0.242
0.500 0.500 0.758
0.000 0.000 0.000